Computed, not measured: a geometry-optimized CsK2InBr4 structure at the GGA-PBE level of DFT.

abc: 8.395 4.853 8.449
angles: 90.00 109.29 90.00
Atoms (fractional coordinates):
Cs1 0.000 0.000 0.000
K1 0.000 0.500 0.500
K2 0.500 0.000 0.500
In1 0.500 0.500 0.000
Br1 0.258 0.000 0.741
Br2 0.268 0.500 0.268
Br3 0.732 0.500 0.732
Br4 0.742 0.000 0.259

Output
As for the space group: No. 10. As for the total DFT energy (no corrections): -3.03 eV/atom. As for the energy relative to the elements, uncorrected: -1.470 eV/atom. The density of states at the Fermi level is 0.00 states/eV/atom. For the density, the calculation gives 3.3 Mg/m³.

---

Computed, not measured: a geometry-optimized Ta2AsOs structure at the GGA-PBE level of DFT.

abc: 7.502 7.502 7.502
angles: 136.74 136.74 62.83
Atoms (fractional coordinates):
Ta1 0.113 0.625 0.988
Ta2 0.375 0.363 0.488
Ta3 0.637 0.125 0.012
Ta4 0.875 0.887 0.512
As1 0.250 0.750 0.500
As2 0.500 0.500 0.000
Os1 0.000 0.000 0.000
Os2 0.750 0.250 0.500

Output
As for the space group: No. 122. As for the total DFT energy (no corrections): -9.10 eV/atom. Its formation energy is 797 meV per atom. The density of states at the Fermi level is 0.61 states/eV/atom. For the density, the calculation gives 10.6 Mg/m³.

---

Computed, not measured: a geometry-optimized PrPa3Ge4 structure at the GGA-PBE level of DFT.

abc: 7.243 8.370 7.245
angles: 90.00 109.52 90.00
Atoms (fractional coordinates):
Pr1 0.000 0.124 0.250
Pr2 0.000 0.876 0.750
Pa1 0.000 0.375 0.750
Pa2 0.000 0.625 0.250
Pa3 0.500 0.124 0.750
Pa4 0.500 0.375 0.250
Pa5 0.500 0.625 0.750
Pa6 0.500 0.876 0.250
Ge1 0.254 0.381 0.507
Ge2 0.254 0.619 0.007
Ge3 0.263 0.132 0.999
Ge4 0.263 0.868 0.499
Ge5 0.737 0.132 0.501
Ge6 0.737 0.868 0.001
Ge7 0.746 0.381 0.993
Ge8 0.746 0.619 0.493

Output
As for the space group: No. 13. As for the total DFT energy (no corrections): -6.98 eV/atom. Its formation energy is -517 meV per atom. The density of states at the Fermi level is 0.92 states/eV/atom. For the density, the calculation gives 9.0 Mg/m³.

---

Computed, not measured: a geometry-optimized Tb8Y2Th structure at the GGA-PBE level of DFT.

abc: 9.251 9.251 5.807
angles: 104.32 104.32 122.44
Atoms (fractional coordinates):
Tb1 0.098 0.327 0.674
Tb2 0.207 0.793 0.000
Tb3 0.327 0.098 0.674
Tb4 0.423 0.423 0.210
Tb5 0.577 0.577 0.790
Tb6 0.673 0.902 0.326
Tb7 0.793 0.207 0.000
Tb8 0.902 0.673 0.326
Y1 0.307 0.693 0.500
Y2 0.693 0.307 0.500
Th1 0.000 0.000 0.000

Output
As for the space group: No. 12. As for the total DFT energy (no corrections): -5.04 eV/atom. Its formation energy is 182 meV per atom. As for the relative energy among the computed polymorphs: 0.156 eV/atom. The density of states at the Fermi level is 1.63 states/eV/atom. For the density, the calculation gives 7.8 Mg/m³.